1.
Tb4Sm8Sc | PBE | optimized geometry

The calculation puts the formation enthalpy at 0 K at 6.4 eV/f.u. The density of states at the Fermi level comes out at 20.07 states/eV/f.u. The calculation puts the raw total energy at -168.623 eV per cell.

The structure belongs to space group R-3m (No. 166, hexagonal axes); the cell edges are 11.0730, 11.0730 and 13.3498 Å and the angles 90.00°, 90.00° and 120.00°. The inequivalent atoms are Tb at (0.0000, 0.0000, 0.0000), Tb at (0.0000, 0.5000, 0.0000), Sm at (0.0000, 0.0000, 0.2416), Sm at (0.0076, 0.5038, 0.7448) and Sc at (0.0000, 0.0000, 0.5000).

=====

2.
Al3PdI | PBE | optimized geometry

The calculation puts the uncorrected formation energy at -4.664 kcal/mol of atoms. The calculation puts the excess energy over the best structure of this formula in the dataset at 0.00 eV/f.u. The density of states at the Fermi level comes out at 0.30 states/eV/f.u. The calculation puts the raw total energy at -18.982 eV per cell.

The structure belongs to space group Pm-3m (No. 221); the cell edges are 4.9140, 4.9140 and 4.9140 Å and the angles 90.00°, 90.00° and 90.00°. The inequivalent atoms are Al at (0.0000, 0.0000, 0.5000), Pd at (0.0000, 0.0000, 0.0000) and I at (0.5000, 0.5000, 0.5000).